This record from the Alexandria database describes CrNClF2 after structural relaxation. The functional is PBE with a Hubbard U.

Geometry as POSCAR:
```
CrNClF2
1.0
3.8451 0.0000 0.0000
0.0000 3.8451 0.0000
0.0000 0.0000 4.3143
Cr N F Cl
1 1 2 1
Cartesian
0.0000 0.0000 0.0000
0.0000 0.0000 2.1571
0.0000 1.9225 0.0000
1.9225 0.0000 0.0000
1.9225 1.9225 2.1571
```

Properties
As for the total energy: -0.181 Ha/atom. For the total magnetization, the calculation gives 2.0 μB per formula unit.